No. 1
# PaB2Pt7

A geometry-optimized PaB2Pt7 structure (PBE, the Alexandria database).

## Properties
DFT formation energy = -0.3886 eV per atom

Unit cell a=4.1487 b=6.6574 c=6.6574 alpha=114.14 beta=90.00 gamma=90.00
Closest atoms and distances in Å follow each position.
Atoms (fractional coordinates):
Pa 0.0000 0.0000 0.0000  10 Pt 2.87-2.91
B 0.5000 0.6908 0.3092  5 Pt 2.13-2.29
B 0.5000 0.3092 0.6908  5 Pt 2.13-2.29
Pt 0.0000 0.7436 0.2564  2 B 2.16
Pt 0.0000 0.2564 0.7436  2 B 2.16
Pt 0.5000 0.0663 0.3275  2 B 2.29-2.45
Pt 0.5000 0.9337 0.6725  2 B 2.29-2.45
Pt 0.5000 0.3275 0.0663  2 B 2.29-2.45
Pt 0.5000 0.6725 0.9337  2 B 2.29-2.45
Pt 0.5000 0.5000 0.5000  2 B 2.13



No. 2
# Pa2B3Pt

A geometry-optimized Pa2B3Pt structure (PBE, the Alexandria database).

## Properties
DFT formation energy = -0.5993 eV per atom

Unit cell a=5.3416 b=5.3416 c=7.3804 alpha=112.99 beta=112.99 gamma=85.46
Closest atoms and distances in Å follow each position.
Atoms (fractional coordinates):
Pa 0.2500 0.7500 0.5000  4 Pt 2.86, 8 B 2.98-2.99
Pa 0.7486 0.7486 0.0000  10 B 2.66-2.98, 2 Pt 2.88
Pa 0.7500 0.2500 0.5000  4 Pt 2.86, 8 B 2.98-2.99
Pa 0.2514 0.2514 0.0000  10 B 2.66-2.98, 2 Pt 2.88
B 0.2879 0.8560 0.1438  2 B 1.80
B 0.1440 0.7121 0.8562  2 B 1.80
B 0.7121 0.1440 0.8562  2 B 1.80
B 0.8560 0.2879 0.1438  2 B 1.80
B 0.1431 0.1431 0.2861  2 B 1.80
B 0.8569 0.8569 0.7139  2 B 1.80
Pt 0.6690 0.6690 0.3381  3 B 2.35-2.39
Pt 0.3310 0.3310 0.6619  3 B 2.35-2.39



No. 3
# PaBPt

A geometry-optimized PaBPt structure (PBE, the Alexandria database).

## Properties
DFT formation energy = -0.5961 eV per atom
Energy above the lowest structure with this stoichiometry = 0.000 eV/atom

Unit cell a=3.7523 b=3.9544 c=3.9544 alpha=120.00 beta=90.00 gamma=90.00
Closest atoms and distances in Å follow each position.
Atoms (fractional coordinates):
B 0.1530 0.0000 0.0000  3 Pt 2.28
Pa 0.6730 0.3333 0.6667  6 B 2.91-3.00, 6 Pt 2.95-2.96
Pt 0.1741 0.6667 0.3333  3 B 2.28



No. 4
# PaB2Pt4

A geometry-optimized PaB2Pt4 structure (PBE, the Alexandria database).

## Properties
DFT formation energy = -0.5837 eV per atom

Unit cell a=3.8731 b=3.9711 c=6.9205 alpha=106.67 beta=90.00 gamma=90.00
Closest atoms and distances in Å follow each position.
Atoms (fractional coordinates):
Pa 0.0000 0.0000 0.0000  8 Pt 2.91-2.95, 8 B 2.93
B 0.5000 0.5703 0.1406  1 B 1.86
B 0.5000 0.4297 0.8594  1 B 1.86
Pt 0.5000 0.8324 0.6649  2 B 2.37
Pt 0.0000 0.6600 0.3200  2 B 2.27
Pt 0.5000 0.1676 0.3351  2 B 2.37
Pt 0.0000 0.3400 0.6800  2 B 2.27



No. 5
# PuPa2B6

A geometry-optimized PuPa2B6 structure (PBE, the Alexandria database).

## Properties
DFT formation energy = -0.5926 eV per atom

Unit cell a=4.0516 b=5.5062 c=5.5062 alpha=120.00 beta=90.00 gamma=90.00
Closest atoms and distances in Å follow each position.
Atoms (fractional coordinates):
Pu 0.0000 0.0000 0.0000  12 B 2.73
Pa 0.0000 0.3333 0.6667  12 B 2.74
Pa 0.0000 0.6667 0.3333  12 B 2.74
B 0.5000 0.3325 0.3325  3 B 1.83-1.85
B 0.5000 0.6675 0.6675  3 B 1.83-1.85
B 0.5000 0.0000 0.6675  3 B 1.83-1.85
B 0.5000 0.6675 0.0000  3 B 1.83-1.85
B 0.5000 0.3325 0.0000  3 B 1.83-1.85
B 0.5000 0.0000 0.3325  3 B 1.83-1.85



No. 6
# Pa3Re3B8

A geometry-optimized Pa3Re3B8 structure (PBE, the Alexandria database).

## Properties
DFT formation energy = -0.1520 eV per atom

Unit cell a=3.0963 b=7.7898 c=7.7898 alpha=76.42 beta=78.54 gamma=78.54
Closest atoms and distances in Å follow each position.
Atoms (fractional coordinates):
Pa 0.5000 0.5000 0.5000  12 B 2.81-2.93, 4 Re 3.10, 2 Pa 3.10
Pa 0.7853 0.2147 0.2147  6 B 2.67-2.86, 2 Re 2.98
Pa 0.2147 0.7853 0.7853  6 B 2.67-2.86, 2 Re 2.98
Re 0.5000 0.0000 0.0000  4 Re 2.64
Re 0.0000 0.7782 0.2218  6 B 2.19-2.29
Re 0.0000 0.2218 0.7782  6 B 2.19-2.29
B 0.6386 0.1253 0.5976  2 B 1.71
B 0.3614 0.8747 0.4024  2 B 1.71
B 0.6386 0.5976 0.1253  2 B 1.71
B 0.3614 0.4024 0.8747  2 B 1.71
B 0.8395 0.8262 0.4947  2 B 1.71
B 0.1605 0.1738 0.5053  2 B 1.71
B 0.8395 0.4947 0.8262  2 B 1.71
B 0.1605 0.5053 0.1738  2 B 1.71



No. 7
# PaReB3

A geometry-optimized PaReB3 structure (PBE, the Alexandria database).

## Properties
DFT formation energy = -0.2085 eV per atom
Energy above the lowest structure with this stoichiometry = 0.163 eV/atom

Unit cell a=5.2907 b=5.2910 c=5.9665 alpha=63.68 beta=63.67 gamma=60.01
Closest atoms and distances in Å follow each position.
Atoms (fractional coordinates):
Pa 0.4434 0.5700 0.4612  9 B 2.63-2.79
Pa 0.6791 0.8059 0.7533  9 B 2.84-3.00, 4 Re 3.04-3.08
Re 0.0402 0.1669 0.6705  6 B 2.16-2.40
Re 0.8768 0.0034 0.1604  6 B 2.09-2.32
B 0.0402 0.1666 0.3077  3 B 1.92-1.93, 1 Re 2.09
B 0.5176 0.2982 0.9305  3 B 1.83-1.94
B 0.1714 0.6444 0.9305  3 B 1.83-1.94
B 0.1712 0.2981 0.9306  3 B 1.83-1.93
B 0.0399 0.5298 0.3081  3 B 1.92-1.94, 1 Re 2.09
B 0.4032 0.1664 0.3080  3 B 1.92-1.94, 1 Re 2.09



No. 8
# PaRe2B

A geometry-optimized PaRe2B structure (PBE, the Alexandria database).

## Properties
DFT formation energy = -0.0422 eV per atom
Energy above the lowest structure with this stoichiometry = 0.000 eV/atom

Unit cell a=3.2257 b=5.1605 c=4.6494 alpha=123.71 beta=89.99 gamma=90.00
Closest atoms and distances in Å follow each position.
Atoms (fractional coordinates):
Pa 0.5000 0.5000 0.0000  2 B 2.58
Re 0.0000 0.8168 0.6337  2 B 2.15
Re 0.0000 0.1832 0.3663  2 B 2.15
B 0.5000 0.0000 0.0000  4 Re 2.15



No. 9
# PaReB4

A geometry-optimized PaReB4 structure (PBE, the Alexandria database).

## Properties
DFT formation energy = -0.1606 eV per atom
Energy above the lowest structure with this stoichiometry = 0.467 eV/atom

Unit cell a=3.1231 b=4.9103 c=4.9103 alpha=65.34 beta=71.46 gamma=71.46
Closest atoms and distances in Å follow each position.
Atoms (fractional coordinates):
Pa 0.0000 0.0000 0.0000  12 B 2.60-2.62
Re 0.5000 0.5000 0.5000  12 B 2.58-2.64
B 0.2521 0.4190 0.0768  3 B 1.77-1.81
B 0.2521 0.0768 0.4190  3 B 1.77-1.81
B 0.7479 0.5810 0.9232  3 B 1.77-1.81
B 0.7479 0.9232 0.5810  3 B 1.77-1.81



No. 10
# Pa3Re2B7

A geometry-optimized Pa3Re2B7 structure (PBE, the Alexandria database).

## Properties
DFT formation energy = -0.0517 eV per atom

Unit cell a=5.1182 b=5.1182 c=7.0595 alpha=68.75 beta=68.75 gamma=60.00
Closest atoms and distances in Å follow each position.
Atoms (fractional coordinates):
Pa 0.0000 0.0000 0.0000  2 Pa 2.78, 6 Re 3.02, 12 B 3.04
Pa 0.8556 0.8556 0.4333  4 Pa 2.78-3.08, 12 B 2.80-2.99, 1 Re 3.02
Pa 0.1444 0.1444 0.5667  4 Pa 2.78-3.08, 12 B 2.80-2.99, 1 Re 3.02
Re 0.6988 0.6988 0.9036  3 B 2.15
Re 0.3012 0.3012 0.0964  3 B 2.15
B 0.5000 0.5000 0.5000  6 B 1.92
B 0.8189 0.4665 0.2481  3 B 1.80-1.92
B 0.4665 0.8189 0.2481  3 B 1.80-1.92
B 0.4665 0.4665 0.2481  3 B 1.80-1.92
B 0.1811 0.5335 0.7519  3 B 1.80-1.92
B 0.5335 0.5335 0.7519  3 B 1.80-1.92
B 0.5335 0.1811 0.7519  3 B 1.80-1.92



No. 11
# PaReB2

A geometry-optimized PaReB2 structure (PBE, the Alexandria database).

## Properties
DFT formation energy = -0.5594 eV per atom
Energy above the lowest structure with this stoichiometry = 0.000 eV/atom

Unit cell a=5.3526 b=5.8805 c=6.5685 alpha=90.00 beta=90.00 gamma=90.00
Closest atoms and distances in Å follow each position.
Atoms (fractional coordinates):
Pa 0.7500 0.9986 0.3413  8 B 2.65-2.93, 1 Re 2.95
Pa 0.7500 0.4986 0.1587  8 B 2.65-2.93, 1 Re 2.95
Pa 0.2500 0.0014 0.6587  8 B 2.65-2.93, 1 Re 2.95
Pa 0.2500 0.5014 0.8413  8 B 2.65-2.93, 1 Re 2.95
Re 0.7500 0.8155 0.8099  6 B 2.29-2.34
Re 0.7500 0.3155 0.6901  6 B 2.29-2.34
Re 0.2500 0.1845 0.1901  6 B 2.29-2.34
Re 0.2500 0.6845 0.3099  6 B 2.29-2.34
B 0.9154 0.6321 0.5336  2 B 1.77-1.85
B 0.5846 0.1321 0.9664  2 B 1.77-1.85
B 0.4154 0.3679 0.4664  2 B 1.77-1.85
B 0.0846 0.8679 0.0336  2 B 1.77-1.85
B 0.0846 0.3679 0.4664  2 B 1.77-1.85
B 0.4154 0.8679 0.0336  2 B 1.77-1.85
B 0.5846 0.6321 0.5336  2 B 1.77-1.85
B 0.9154 0.1321 0.9664  2 B 1.77-1.85



No. 12
# PaReB

A geometry-optimized PaReB structure (PBE, the Alexandria database).

## Properties
DFT formation energy = -0.0081 eV per atom
Energy above the lowest structure with this stoichiometry = 0.119 eV/atom

Unit cell a=3.1685 b=3.1685 c=5.5106 alpha=90.00 beta=90.00 gamma=120.00
Closest atoms and distances in Å follow each position.
Atoms (fractional coordinates):
Re 0.3333 0.6667 0.5759  3 B 2.13
B 0.6667 0.3333 0.3780  3 Re 2.13
Pa 0.0000 0.0000 0.0461  3 B 2.59



Going through the records in order, we get total energy values of -6.9022, -8.1102, -8.0008, -7.3000, -8.7469, -8.6700, -8.6038, -10.3096, -8.2696, -8.3956, -9.3841, -9.5486 eV per atom.